The following is a PBE-GGA calculation of an optimized crystal structure of BaScNi, from Alexandria via LeMat-Bulk.

The theoretical density comes out at 4.405 g/cm³. Its total magnetization is 0.000 μB per formula unit. For the formation enthalpy at 0 K, the calculation gives -32 meV per atom. For the total energy, the calculation gives -4.71 eV per atom. The density of states at the Fermi level is 6.6 states/eV/cell.

The space group is Pm (No. 6) and the conventional cell measures 3.818, 6.104 and 7.795 Å, with angles of 90.00, 90.23 and 90.00 degrees. The distinct sites, in fractional coordinates, are Ba at (0.000, 0.000, 0.000), Ba at (0.495, 0.500, 0.332), Sc at (0.498, 0.000, 0.583), Sc at (0.500, 0.500, 0.796) and Ni at (0.998, 0.293, 0.638).